! TbCrAs2O8 | Alexandria | PBE+U | relaxed; values from VASP
! Energy in eV/atom: -6.852
&SYSTEM
  ibrav = 0, nat = 12, ntyp = 4
/
ATOMIC_SPECIES
Tb 158.93 Tb.upf
Cr 52.00 Cr.upf
As 74.92 As.upf
O 16.00 O.upf
CELL_PARAMETERS angstrom
-3.463 3.463 3.153
3.463 -3.463 3.153
3.463 3.463 -3.153
ATOMIC_POSITIONS angstrom
Tb 0.000 0.000 0.000
Cr 3.463 0.000 1.577
As 0.000 0.000 3.153
As 0.000 3.463 1.577
O 2.151 3.463 -1.138
O 1.311 0.000 2.016
O 0.000 2.218 0.408
O 3.463 2.151 1.138
O 0.000 4.708 0.408
O 0.000 1.311 4.291
O -1.245 3.463 2.746
O 1.245 3.463 2.746